# 1
A relaxed structure of ZrBe2, computed with PBE-GGA.

Space-group type: I4_1/amd (141)
Total energy in eV/atom: -5.466
Total moment in μB/atom: 0.00
ΔE_f in eV per formula unit: -0.4

Cell: 6.9148 6.9148 6.9148 Å, 150.03 150.03 42.89°
Last column: nearest neighbours and their distance in Å.
Positions (direct):
Be (0.5829, 0.5829, 0.0000)  3 Be 2.09-2.13
Be (0.6671, 0.1671, 0.5000)  3 Be 2.09-2.13
Be (0.4171, 0.4171, 0.0000)  3 Be 2.09-2.13
Be (0.8329, 0.3329, 0.5000)  3 Be 2.09-2.13
Zr (0.0000, 0.0000, 0.0000)  12 Be 2.74-2.80
Zr (0.2500, 0.7500, 0.5000)  12 Be 2.74-2.80



# 2
A relaxed structure of ZrBe5, computed with PBE-GGA.

Space-group type: F-43m (216)
Total energy in eV/atom: -4.412
Total moment in μB/atom: 0.00
ΔE_f in eV per formula unit: 0.7

Cell: 4.5306 4.5306 4.5306 Å, 60.00 60.00 60.00°
Last column: nearest neighbours and their distance in Å.
Positions (direct):
Zr (0.0000, 0.0000, 0.0000)  16 Be 2.65-2.77
Be (0.7500, 0.7500, 0.7500)  12 Be 2.66, 4 Zr 2.77
Be (0.8837, 0.3721, 0.3721)  6 Be 2.21-2.32
Be (0.3721, 0.8837, 0.3721)  6 Be 2.21-2.32
Be (0.3721, 0.3721, 0.8837)  6 Be 2.21-2.32
Be (0.3721, 0.3721, 0.3721)  6 Be 2.21-2.32



# 3
A relaxed structure of Zr7Be6, computed with PBE-GGA.

Space-group type: R-3m (166)
Total energy in eV/atom: -5.610
Total moment in μB/atom: 0.00
ΔE_f in eV per formula unit: 9.3

Cell: 9.1674 9.1674 9.1674 Å, 36.66 36.66 36.66°
Last column: nearest neighbours and their distance in Å.
Positions (direct):
Be (0.9424, 0.9424, 0.9424)  1 Be 2.25
Be (0.0576, 0.0576, 0.0576)  1 Be 2.25
Be (0.8544, 0.8544, 0.8544)  1 Be 2.25
Be (0.1456, 0.1456, 0.1456)  1 Be 2.25
Be (0.6663, 0.6663, 0.6663)  6 Zr 2.60-2.61
Be (0.3337, 0.3337, 0.3337)  6 Zr 2.60-2.61
Zr (0.4195, 0.9264, 0.4195)  2 Be 2.60-2.61, 3 Zr 2.83-2.84
Zr (0.9264, 0.4195, 0.4195)  2 Be 2.60-2.61, 3 Zr 2.83-2.84
Zr (0.4195, 0.4195, 0.9264)  2 Be 2.60-2.61, 3 Zr 2.83-2.84
Zr (0.5805, 0.0736, 0.5805)  2 Be 2.60-2.61, 3 Zr 2.83-2.84
Zr (0.5805, 0.5805, 0.0736)  2 Be 2.60-2.61, 3 Zr 2.83-2.84
Zr (0.0736, 0.5805, 0.5805)  2 Be 2.60-2.61, 3 Zr 2.83-2.84
Zr (0.5000, 0.5000, 0.5000)  6 Zr 2.83



# 4
A relaxed structure of Zr3Be4, computed with PBE-GGA.

Space-group type: P6/mmm (191)
Total energy in eV/atom: -5.127
Total moment in μB/atom: 0.00
ΔE_f in eV per formula unit: 4.7

Cell: 5.8608 5.8608 4.1151 Å, 90.00 90.00 120.00°
Last column: nearest neighbours and their distance in Å.
Positions (direct):
Zr (0.0000, 0.5000, 0.0000)  4 Be 2.66, 4 Zr 2.93
Zr (0.5000, 0.5000, 0.0000)  4 Be 2.66, 4 Zr 2.93
Zr (0.5000, 0.0000, 0.0000)  4 Be 2.66, 4 Zr 2.93
Be (0.0000, 0.0000, 0.2388)  2 Be 1.97-2.15
Be (0.0000, 0.0000, 0.7612)  2 Be 1.97-2.15
Be (0.6667, 0.3333, 0.5000)  6 Zr 2.66
Be (0.3333, 0.6667, 0.5000)  6 Zr 2.66